Entry w
# Li2ReMo

An optimized crystal structure of Li2ReMo (GGA-PBEsol, the Alexandria database).

abc: 4.817 5.346 5.346
angles: 78.29 63.22 63.22
Fractional coordinates of all 8 atoms:
1 Re 0.000 0.000 0.000
2 Re 0.750 0.500 0.500
3 Li 0.628 0.997 0.497
4 Mo 0.500 0.000 0.000
5 Li 0.875 0.497 0.003
6 Mo 0.250 0.500 0.500
7 Li 0.375 0.503 0.997
8 Li 0.122 0.003 0.503

Computed properties:
- total magnetic moment (Bohr magnetons per cell) = 0.001

Entry x
# Li2ReMo

An optimized crystal structure of Li2ReMo (GGA-PBEsol, the Alexandria database).

abc: 3.009 4.072 4.717
angles: 90.00 90.00 90.00
Fractional coordinates of all 4 atoms:
1 Li 0.500 0.500 0.000
2 Mo 0.500 0.000 0.500
3 Li 0.000 0.000 0.000
4 Re 0.000 0.500 0.500

Computed properties:
- total magnetic moment (Bohr magnetons per cell) = 0.000

Stability verdict: entry x, ahead by 69.3 kJ/mol of atoms

Entry w
# LiMo2Rh

An optimized crystal structure of LiMo2Rh (GGA-PBEsol, the Alexandria database).

abc: 3.611 3.611 4.945
angles: 111.42 111.42 90.00
Fractional coordinates of all 4 atoms:
1 Mo 0.250 0.750 0.500
2 Mo 0.750 0.250 0.500
3 Rh 0.500 0.500 0.000
4 Li 0.000 0.000 0.000

Computed properties:
- total magnetic moment (Bohr magnetons per cell) = 0.000

Entry x
# LiMo2Rh

An optimized crystal structure of LiMo2Rh (GGA-PBEsol, the Alexandria database).

abc: 3.041 4.491 4.989
angles: 116.75 107.75 90.00
Fractional coordinates of all 4 atoms:
1 Rh 0.496 0.496 0.992
2 Mo 0.743 0.243 0.485
3 Mo 0.017 0.017 0.033
4 Li 0.245 0.745 0.490

Computed properties:
- total magnetic moment (Bohr magnetons per cell) = 0.000

Stability verdict: entry w, ahead by 4.6 kJ/mol of atoms

Entry w
# LiMoS2

An optimized crystal structure of LiMoS2 (GGA-PBEsol, the Alexandria database).

abc: 6.195 6.576 6.697
angles: 61.16 89.88 89.74
Fractional coordinates of all 16 atoms:
1 S 0.697 0.322 0.591
2 Li 0.979 0.009 0.740
3 Mo 0.501 0.491 0.211
4 Mo 0.495 0.943 0.809
5 Li 0.010 0.479 0.293
6 Mo 0.499 0.509 0.789
7 S 0.225 0.655 0.932
8 Li 0.990 0.521 0.707
9 S 0.282 0.151 0.433
10 S 0.252 0.184 0.894
11 S 0.303 0.678 0.409
12 S 0.718 0.849 0.567
13 Li 0.021 0.991 0.260
14 Mo 0.505 0.057 0.191
15 S 0.748 0.816 0.106
16 S 0.775 0.345 0.068

Computed properties:
- total magnetic moment (Bohr magnetons per cell) = 0.000

Entry x
# LiMoS2

An optimized crystal structure of LiMoS2 (GGA-PBEsol, the Alexandria database).

abc: 4.211 4.211 4.211
angles: 60.00 60.00 60.00
Fractional coordinates of all 4 atoms:
1 S 0.250 0.250 0.250
2 Mo 0.500 0.500 0.500
3 S 0.750 0.750 0.750
4 Li 0.000 0.000 0.000

Computed properties:
- total magnetic moment (Bohr magnetons per cell) = 0.567

Stability verdict: entry w, ahead by 52.3 kJ/mol of atoms

Entry w
# LiSb2Mo

An optimized crystal structure of LiSb2Mo (GGA-PBEsol, the Alexandria database).

abc: 3.370 4.376 5.338
angles: 89.98 108.40 90.00
Fractional coordinates of all 4 atoms:
1 Mo 0.700 0.125 0.400
2 Li 0.539 0.625 0.078
3 Sb 0.274 0.625 0.547
4 Sb 0.987 0.125 0.975

Computed properties:
- total magnetic moment (Bohr magnetons per cell) = 0.000

Entry x
# LiSb2Mo

An optimized crystal structure of LiSb2Mo (GGA-PBEsol, the Alexandria database).

abc: 3.687 3.687 5.508
angles: 90.00 90.00 90.00
Fractional coordinates of all 4 atoms:
1 Li 0.000 0.000 0.479
2 Mo 0.500 0.500 0.773
3 Sb 0.000 0.000 0.957
4 Sb 0.500 0.500 0.291

Computed properties:
- total magnetic moment (Bohr magnetons per cell) = 0.001

Stability verdict: entry w, ahead by 5.4 kJ/mol of atoms

Entry w
# LiScMo

An optimized crystal structure of LiScMo (GGA-PBEsol, the Alexandria database).

abc: 2.724 2.724 7.401
angles: 100.60 100.60 90.00
Fractional coordinates of all 3 atoms:
1 Sc 0.321 0.321 0.643
2 Li 0.010 0.010 0.020
3 Mo 0.669 0.669 0.337

Computed properties:
- total magnetic moment (Bohr magnetons per cell) = 0.000

Entry x
# LiScMo

An optimized crystal structure of LiScMo (GGA-PBEsol, the Alexandria database).

abc: 2.761 2.761 7.430
angles: 98.03 98.03 104.36
Fractional coordinates of all 3 atoms:
1 Sc 0.320 0.320 0.640
2 Li 0.010 0.010 0.021
3 Mo 0.669 0.669 0.339

Computed properties:
- total magnetic moment (Bohr magnetons per cell) = 0.000

Stability verdict: entry x, ahead by 0.5 kJ/mol of atoms

Entry w
# LiSi2Mo

An optimized crystal structure of LiSi2Mo (GGA-PBEsol, the Alexandria database).

abc: 3.159 3.159 5.302
angles: 90.00 90.00 90.00
Fractional coordinates of all 4 atoms:
1 Si 0.000 0.000 0.752
2 Si 0.000 0.000 0.248
3 Mo 0.500 0.500 0.500
4 Li 0.500 0.500 0.000

Computed properties:
- total magnetic moment (Bohr magnetons per cell) = 0.000

Entry x
# LiSi2Mo

An optimized crystal structure of LiSi2Mo (GGA-PBEsol, the Alexandria database).

abc: 3.290 3.290 5.007
angles: 90.00 90.00 90.00
Fractional coordinates of all 4 atoms:
1 Si 0.500 0.500 0.264
2 Mo 0.500 0.500 0.769
3 Si 0.000 0.000 0.979
4 Li 0.000 0.000 0.488

Computed properties:
- total magnetic moment (Bohr magnetons per cell) = 0.001

Entry y
# LiSi2Mo

An optimized crystal structure of LiSi2Mo (GGA-PBEsol, the Alexandria database).

abc: 3.665 3.665 4.594
angles: 113.51 113.51 90.00
Fractional coordinates of all 4 atoms:
1 Mo 0.500 0.500 0.000
2 Li 0.000 0.000 0.000
3 Si 0.250 0.750 0.500
4 Si 0.750 0.250 0.500

Computed properties:
- total magnetic moment (Bohr magnetons per cell) = 0.000

Entry z
# LiSi2Mo

An optimized crystal structure of LiSi2Mo (GGA-PBEsol, the Alexandria database).

abc: 4.226 4.226 4.226
angles: 60.00 60.00 60.00
Fractional coordinates of all 4 atoms:
1 Si 0.250 0.250 0.250
2 Si 0.750 0.750 0.750
3 Li 0.000 0.000 0.000
4 Mo 0.500 0.500 0.500

Computed properties:
- total magnetic moment (Bohr magnetons per cell) = 0.002

Stability verdict: entry w, ahead by 1.6 kJ/mol of atoms

Entry w
# LiSn3Mo

An optimized crystal structure of LiSn3Mo (GGA-PBEsol, the Alexandria database).

abc: 4.828 4.828 4.828
angles: 90.00 90.00 90.00
Fractional coordinates of all 5 atoms:
1 Sn 0.000 0.000 0.500
2 Li 0.000 0.000 0.000
3 Sn 0.000 0.500 0.000
4 Mo 0.500 0.500 0.500
5 Sn 0.500 0.000 0.000

Computed properties:
- total magnetic moment (Bohr magnetons per cell) = 3.575

Entry x
# LiSn3Mo

An optimized crystal structure of LiSn3Mo (GGA-PBEsol, the Alexandria database).

abc: 5.231 5.231 5.231
angles: 90.00 90.00 90.00
Fractional coordinates of all 5 atoms:
1 Sn 0.000 0.500 0.000
2 Mo 0.000 0.000 0.000
3 Li 0.500 0.500 0.500
4 Sn 0.500 0.000 0.000
5 Sn 0.000 0.000 0.500

Computed properties:
- total magnetic moment (Bohr magnetons per cell) = 0.000

Stability verdict: entry x, ahead by 59.9 kJ/mol of atoms

Entry w
# Sr2LiMo

An optimized crystal structure of Sr2LiMo (GGA-PBEsol, the Alexandria database).

abc: 3.803 5.569 5.569
angles: 89.99 90.00 90.00
Fractional coordinates of all 4 atoms:
1 Sr 0.000 0.500 0.000
2 Mo 0.500 0.500 0.500
3 Sr 0.000 0.000 0.500
4 Li 0.500 0.000 0.000

Computed properties:
- total magnetic moment (Bohr magnetons per cell) = 3.114

Entry x
# Sr2LiMo

An optimized crystal structure of Sr2LiMo (GGA-PBEsol, the Alexandria database).

abc: 3.727 5.487 6.571
angles: 114.68 106.47 90.00
Fractional coordinates of all 4 atoms:
1 Mo 0.225 0.725 0.450
2 Sr 0.761 0.261 0.522
3 Li 0.544 0.544 0.088
4 Sr 0.970 0.970 0.940

Computed properties:
- total magnetic moment (Bohr magnetons per cell) = 2.629

Stability verdict: entry w, ahead by 1.9 kJ/mol of atoms

Entry w
# SrLi2Mo

An optimized crystal structure of SrLi2Mo (GGA-PBEsol, the Alexandria database).

abc: 2.907 2.907 9.614
angles: 90.00 90.00 90.00
Fractional coordinates of all 4 atoms:
1 Sr 0.500 0.500 0.729
2 Li 0.000 0.000 0.039
3 Li 0.500 0.500 0.264
4 Mo 0.000 0.000 0.468

Computed properties:
- total magnetic moment (Bohr magnetons per cell) = 0.000

Entry x
# SrLi2Mo

An optimized crystal structure of SrLi2Mo (GGA-PBEsol, the Alexandria database).

abc: 2.904 5.342 6.397
angles: 114.68 103.12 90.00
Fractional coordinates of all 4 atoms:
1 Sr 0.000 0.500 0.000
2 Mo 0.500 0.000 0.000
3 Li 0.216 0.216 0.432
4 Li 0.784 0.784 0.568

Computed properties:
- total magnetic moment (Bohr magnetons per cell) = 0.012

Stability verdict: entry w, ahead by 13.8 kJ/mol of atoms

Entry w
# Li2TaMo

An optimized crystal structure of Li2TaMo (GGA-PBEsol, the Alexandria database).

abc: 2.956 4.264 5.672
angles: 112.02 105.11 90.00
Fractional coordinates of all 4 atoms:
1 Li 0.756 0.756 0.512
2 Mo 0.500 0.000 0.000
3 Ta 0.000 0.500 0.000
4 Li 0.244 0.244 0.488

Computed properties:
- total magnetic moment (Bohr magnetons per cell) = 0.000

Entry x
# Li2TaMo

An optimized crystal structure of Li2TaMo (GGA-PBEsol, the Alexandria database).

abc: 4.260 4.260 4.260
angles: 60.00 60.00 60.00
Fractional coordinates of all 4 atoms:
1 Ta 0.500 0.500 0.500
2 Mo 0.000 0.000 0.000
3 Li 0.750 0.750 0.750
4 Li 0.250 0.250 0.250

Computed properties:
- total magnetic moment (Bohr magnetons per cell) = 0.001

Entry y
# Li2TaMo

An optimized crystal structure of Li2TaMo (GGA-PBEsol, the Alexandria database).

abc: 4.918 5.530 5.530
angles: 78.60 63.60 63.60
Fractional coordinates of all 8 atoms:
1 Li 0.616 0.009 0.509
2 Mo 0.250 0.500 0.500
3 Ta 0.750 0.500 0.500
4 Mo 0.500 0.000 0.000
5 Li 0.134 0.991 0.491
6 Ta 0.000 0.000 0.000
7 Li 0.375 0.491 0.009
8 Li 0.875 0.509 0.991

Computed properties:
- total magnetic moment (Bohr magnetons per cell) = 0.000

Stability verdict: entry w, ahead by 44.0 kJ/mol of atoms

Entry w
# LiTc2Mo

An optimized crystal structure of LiTc2Mo (GGA-PBEsol, the Alexandria database).

abc: 2.581 4.582 4.926
angles: 92.22 90.00 106.36
Fractional coordinates of all 4 atoms:
1 Tc 0.001 0.002 0.005
2 Mo 0.248 0.497 0.742
3 Li 0.499 0.998 0.499
4 Tc 0.752 0.504 0.254

Computed properties:
- total magnetic moment (Bohr magnetons per cell) = 0.000

Entry x
# LiTc2Mo

An optimized crystal structure of LiTc2Mo (GGA-PBEsol, the Alexandria database).

abc: 3.130 3.130 5.499
angles: 90.00 90.00 90.00
Fractional coordinates of all 4 atoms:
1 Tc 0.000 0.000 0.769
2 Li 0.500 0.500 0.000
3 Tc 0.000 0.000 0.231
4 Mo 0.500 0.500 0.500

Computed properties:
- total magnetic moment (Bohr magnetons per cell) = 0.000

Entry y
# LiTc2Mo

An optimized crystal structure of LiTc2Mo (GGA-PBEsol, the Alexandria database).

abc: 4.254 4.254 4.254
angles: 60.00 60.00 60.00
Fractional coordinates of all 4 atoms:
1 Tc 0.000 0.000 0.000
2 Mo 0.250 0.250 0.250
3 Li 0.500 0.500 0.500
4 Tc 0.750 0.750 0.750

Computed properties:
- total magnetic moment (Bohr magnetons per cell) = 0.000

Entry z
# LiTc2Mo

An optimized crystal structure of LiTc2Mo (GGA-PBEsol, the Alexandria database).

abc: 3.031 4.346 4.975
angles: 115.90 107.73 90.00
Fractional coordinates of all 4 atoms:
1 Tc 0.739 0.739 0.479
2 Mo 0.000 0.500 0.000
3 Tc 0.261 0.261 0.521
4 Li 0.500 0.000 0.000

Computed properties:
- total magnetic moment (Bohr magnetons per cell) = 0.000

Stability verdict: entry z, ahead by 2.4 kJ/mol of atoms

Entry w
# LiTl2Mo

An optimized crystal structure of LiTl2Mo (GGA-PBEsol, the Alexandria database).

abc: 3.086 3.086 9.588
angles: 80.74 80.74 60.00
Fractional coordinates of all 4 atoms:
1 Mo 0.000 0.000 0.000
2 Tl 0.751 0.751 0.747
3 Li 0.500 0.500 0.500
4 Tl 0.249 0.249 0.253

Computed properties:
- total magnetic moment (Bohr magnetons per cell) = 0.000

Entry x
# LiTl2Mo

An optimized crystal structure of LiTl2Mo (GGA-PBEsol, the Alexandria database).

abc: 3.723 3.723 5.728
angles: 90.00 90.00 90.00
Fractional coordinates of all 4 atoms:
1 Tl 0.000 0.000 0.937
2 Tl 0.500 0.500 0.290
3 Mo 0.500 0.500 0.779
4 Li 0.000 0.000 0.494

Computed properties:
- total magnetic moment (Bohr magnetons per cell) = 0.000

Stability verdict: entry w, ahead by 16.5 kJ/mol of atoms